Record 1
This record from Alexandria describes a relaxed Na2TcBi crystal. The functional is PBE.

Summary:
* ΔH_f (0 K): 0.762 eV per atom
* D(E_F): 1.118 states/eV per atom

Cell: 8.759 8.759 6.764 Å, 49.65 49.65 90.00°
Sites, in units of the cell vectors:
Tc  0.500  0.500  0.000
Tc  0.250  0.750  0.500
Bi  0.000  0.000  0.000
Bi  0.750  0.250  0.500
Na  0.602  0.125  0.250
Na  0.375  0.398  0.750
Na  0.875  0.852  0.750
Na  0.148  0.625  0.250


Record 2
This record from Alexandria describes a relaxed NaTc3Bi crystal. The functional is PBE.

Summary:
* offset from the most stable computed form: 135 meV per atom
* ΔH_f (0 K): 2.230 eV per atom
* D(E_F): 0.953 states/eV per atom

Cell: 4.637 4.637 4.637 Å, 90.00 90.00 90.00°
Sites, in units of the cell vectors:
Na  0.000  0.000  0.000
Tc  0.000  0.000  0.500
Tc  0.000  0.500  0.000
Tc  0.500  0.000  0.000
Bi  0.500  0.500  0.500